# 1
Entry from the Alexandria database: an optimized crystal structure of LaEr2Zn (PBE).

The structure in CIF format:
```
data_LaEr2Zn
_space_group_name_H-M_alt 'P 1'
_space_group_IT_number 1
_cell_length_a 4.849
_cell_length_b 4.776
_cell_length_c 4.776
_cell_angle_alpha 90.00
_cell_angle_beta 90.00
_cell_angle_gamma 90.00
loop_
_space_group_symop_operation_xyz
'x,y,z'
loop_
_atom_site_label
_atom_site_type_symbol
_atom_site_fract_x
_atom_site_fract_y
_atom_site_fract_z
_atom_site_occupancy
La1 La 0.500 0.500 0.500 1
Zn1 Zn 0.500 0.000 0.000 1
Er1 Er 0.000 0.500 0.000 1
Er2 Er 0.000 0.000 0.500 1
```

Results
- total magnetization (μB/f.u.) = 0.0
- DFT formation energy (meV per atom) = -19

# 2
Entry from the Alexandria database: an optimized crystal structure of La3ErZn4 (PBE).

The structure in CIF format:
```
data_La3ErZn4
_space_group_name_H-M_alt 'P 1'
_space_group_IT_number 1
_cell_length_a 3.693
_cell_length_b 3.693
_cell_length_c 14.911
_cell_angle_alpha 90.00
_cell_angle_beta 90.00
_cell_angle_gamma 90.00
loop_
_space_group_symop_operation_xyz
'x,y,z'
loop_
_atom_site_label
_atom_site_type_symbol
_atom_site_fract_x
_atom_site_fract_y
_atom_site_fract_z
_atom_site_occupancy
Zn1 Zn 0.000 0.000 0.107 1
Zn2 Zn 0.000 0.000 0.893 1
Zn3 Zn 0.000 0.000 0.627 1
Zn4 Zn 0.000 0.000 0.373 1
La1 La 0.500 0.500 0.758 1
La2 La 0.500 0.500 0.500 1
La3 La 0.500 0.500 0.242 1
Er1 Er 0.500 0.500 0.000 1
```

Results
- total magnetization (μB/f.u.) = 0.0
- DFT formation energy (meV per atom) = -312

# 3
Entry from the Alexandria database: an optimized crystal structure of La2ErZn (PBE).

The structure in CIF format:
```
data_La2ErZn
_space_group_name_H-M_alt 'P 1'
_space_group_IT_number 1
_cell_length_a 5.200
_cell_length_b 5.200
_cell_length_c 9.514
_cell_angle_alpha 105.86
_cell_angle_beta 105.86
_cell_angle_gamma 90.00
loop_
_space_group_symop_operation_xyz
'x,y,z'
loop_
_atom_site_label
_atom_site_type_symbol
_atom_site_fract_x
_atom_site_fract_y
_atom_site_fract_z
_atom_site_occupancy
Er1 Er 0.848 0.848 0.696 1
Er2 Er 0.152 0.152 0.304 1
La1 La 0.000 0.500 0.000 1
La2 La 0.500 0.000 0.000 1
La3 La 0.644 0.644 0.287 1
La4 La 0.356 0.356 0.713 1
Zn1 Zn 0.250 0.750 0.500 1
Zn2 Zn 0.750 0.250 0.500 1
```

Results
- total magnetization (μB/f.u.) = 0.0
- DFT formation energy (meV per atom) = -155

# 4
Entry from the Alexandria database: an optimized crystal structure of LaEr2Zn2 (PBE).

The structure in CIF format:
```
data_LaEr2Zn2
_space_group_name_H-M_alt 'P 1'
_space_group_IT_number 1
_cell_length_a 3.565
_cell_length_b 3.680
_cell_length_c 10.247
_cell_angle_alpha 79.66
_cell_angle_beta 90.00
_cell_angle_gamma 90.00
loop_
_space_group_symop_operation_xyz
'x,y,z'
loop_
_atom_site_label
_atom_site_type_symbol
_atom_site_fract_x
_atom_site_fract_y
_atom_site_fract_z
_atom_site_occupancy
Er1 Er 0.000 0.178 0.645 1
Er2 Er 0.000 0.822 0.355 1
Zn1 Zn 0.500 0.600 0.800 1
Zn2 Zn 0.500 0.400 0.200 1
La1 La 0.000 0.000 0.000 1
```

Results
- total magnetization (μB/f.u.) = 0.0
- DFT formation energy (meV per atom) = -162

# 5
Entry from the Alexandria database: an optimized crystal structure of La3ErZn8 (PBE).

The structure in CIF format:
```
data_La3ErZn8
_space_group_name_H-M_alt 'P 1'
_space_group_IT_number 1
_cell_length_a 5.611
_cell_length_b 5.611
_cell_length_c 9.673
_cell_angle_alpha 73.14
_cell_angle_beta 73.14
_cell_angle_gamma 60.00
loop_
_space_group_symop_operation_xyz
'x,y,z'
loop_
_atom_site_label
_atom_site_type_symbol
_atom_site_fract_x
_atom_site_fract_y
_atom_site_fract_z
_atom_site_occupancy
Er1 Er 0.876 0.876 0.372 1
La1 La 0.374 0.374 0.877 1
La2 La 0.499 0.499 0.504 1
La3 La 0.001 0.001 0.996 1
Zn1 Zn 0.187 0.187 0.438 1
Zn2 Zn 0.937 0.937 0.682 1
Zn3 Zn 0.437 0.933 0.193 1
Zn4 Zn 0.933 0.437 0.193 1
Zn5 Zn 0.444 0.937 0.682 1
Zn6 Zn 0.688 0.688 0.936 1
Zn7 Zn 0.937 0.444 0.682 1
Zn8 Zn 0.437 0.437 0.193 1
```

Results
- total magnetization (μB/f.u.) = 0.0
- DFT formation energy (meV per atom) = -323

# 6
Entry from the Alexandria database: an optimized crystal structure of La2ErZn (PBE).

The structure in CIF format:
```
data_La2ErZn
_space_group_name_H-M_alt 'P 1'
_space_group_IT_number 1
_cell_length_a 3.690
_cell_length_b 3.690
_cell_length_c 10.848
_cell_angle_alpha 80.21
_cell_angle_beta 80.21
_cell_angle_gamma 60.00
loop_
_space_group_symop_operation_xyz
'x,y,z'
loop_
_atom_site_label
_atom_site_type_symbol
_atom_site_fract_x
_atom_site_fract_y
_atom_site_fract_z
_atom_site_occupancy
La1 La 0.259 0.259 0.224 1
La2 La 0.075 0.075 0.775 1
Er1 Er 0.499 0.499 0.502 1
Zn1 Zn 0.667 0.667 0.999 1
```

Results
- total magnetization (μB/f.u.) = 0.0
- DFT formation energy (meV per atom) = -9

# 7
Entry from the Alexandria database: an optimized crystal structure of La2ErZn (PBE).

The structure in CIF format:
```
data_La2ErZn
_space_group_name_H-M_alt 'P 1'
_space_group_IT_number 1
_cell_length_a 3.745
_cell_length_b 3.745
_cell_length_c 8.717
_cell_angle_alpha 90.00
_cell_angle_beta 90.00
_cell_angle_gamma 90.00
loop_
_space_group_symop_operation_xyz
'x,y,z'
loop_
_atom_site_label
_atom_site_type_symbol
_atom_site_fract_x
_atom_site_fract_y
_atom_site_fract_z
_atom_site_occupancy
La1 La 0.000 0.000 0.215 1
La2 La 0.000 0.000 0.785 1
Er1 Er 0.500 0.500 0.500 1
Zn1 Zn 0.500 0.500 0.000 1
```

Results
- total magnetization (μB/f.u.) = 0.0
- DFT formation energy (meV per atom) = -124

# 8
Entry from the Alexandria database: an optimized crystal structure of LaErZn3 (PBE).

The structure in CIF format:
```
data_LaErZn3
_space_group_name_H-M_alt 'P 1'
_space_group_IT_number 1
_cell_length_a 3.633
_cell_length_b 4.601
_cell_length_c 13.766
_cell_angle_alpha 90.00
_cell_angle_beta 97.58
_cell_angle_gamma 90.00
loop_
_space_group_symop_operation_xyz
'x,y,z'
loop_
_atom_site_label
_atom_site_type_symbol
_atom_site_fract_x
_atom_site_fract_y
_atom_site_fract_z
_atom_site_occupancy
Zn1 Zn 0.377 0.250 0.754 1
Zn2 Zn 0.476 0.250 0.952 1
Zn3 Zn 0.678 0.250 0.355 1
Zn4 Zn 0.322 0.750 0.645 1
Zn5 Zn 0.623 0.750 0.246 1
Zn6 Zn 0.524 0.750 0.048 1
Er1 Er 0.210 0.750 0.421 1
Er2 Er 0.790 0.250 0.579 1
La1 La 0.925 0.750 0.850 1
La2 La 0.075 0.250 0.150 1
```

Results
- total magnetization (μB/f.u.) = 0.0
- DFT formation energy (meV per atom) = -330

# 9
Entry from the Alexandria database: an optimized crystal structure of LaEr2Zn (PBE).

The structure in CIF format:
```
data_LaEr2Zn
_space_group_name_H-M_alt 'P 1'
_space_group_IT_number 1
_cell_length_a 3.602
_cell_length_b 3.602
_cell_length_c 10.603
_cell_angle_alpha 80.22
_cell_angle_beta 80.22
_cell_angle_gamma 60.00
loop_
_space_group_symop_operation_xyz
'x,y,z'
loop_
_atom_site_label
_atom_site_type_symbol
_atom_site_fract_x
_atom_site_fract_y
_atom_site_fract_z
_atom_site_occupancy
Er1 Er 0.069 0.069 0.794 1
Er2 Er 0.264 0.264 0.207 1
Zn1 Zn 0.666 0.666 0.001 1
La1 La 0.501 0.501 0.498 1
```

Results
- total magnetization (μB/f.u.) = 0.0
- DFT formation energy (meV per atom) = -46

# 10
Entry from the Alexandria database: an optimized crystal structure of LaEr4Zn5 (PBE).

The structure in CIF format:
```
data_LaEr4Zn5
_space_group_name_H-M_alt 'P 1'
_space_group_IT_number 1
_cell_length_a 3.566
_cell_length_b 3.566
_cell_length_c 18.056
_cell_angle_alpha 90.00
_cell_angle_beta 90.00
_cell_angle_gamma 90.00
loop_
_space_group_symop_operation_xyz
'x,y,z'
loop_
_atom_site_label
_atom_site_type_symbol
_atom_site_fract_x
_atom_site_fract_y
_atom_site_fract_z
_atom_site_occupancy
La1 La 0.000 0.000 0.000 1
Zn1 Zn 0.500 0.500 0.116 1
Zn2 Zn 0.500 0.500 0.500 1
Zn3 Zn 0.500 0.500 0.695 1
Zn4 Zn 0.500 0.500 0.884 1
Zn5 Zn 0.500 0.500 0.305 1
Er1 Er 0.000 0.000 0.208 1
Er2 Er 0.000 0.000 0.597 1
Er3 Er 0.000 0.000 0.403 1
Er4 Er 0.000 0.000 0.792 1
```

Results
- total magnetization (μB/f.u.) = 0.0
- DFT formation energy (meV per atom) = -335

# 11
Entry from the Alexandria database: an optimized crystal structure of La6ErZn5 (PBE).

The structure in CIF format:
```
data_La6ErZn5
_space_group_name_H-M_alt 'P 1'
_space_group_IT_number 1
_cell_length_a 5.316
_cell_length_b 7.645
_cell_length_c 8.571
_cell_angle_alpha 90.00
_cell_angle_beta 108.08
_cell_angle_gamma 90.00
loop_
_space_group_symop_operation_xyz
'x,y,z'
loop_
_atom_site_label
_atom_site_type_symbol
_atom_site_fract_x
_atom_site_fract_y
_atom_site_fract_z
_atom_site_occupancy
Zn1 Zn 0.353 0.000 0.702 1
Zn2 Zn 0.665 0.500 0.335 1
Zn3 Zn 0.335 0.500 0.665 1
Zn4 Zn 0.000 0.500 0.000 1
Zn5 Zn 0.647 0.000 0.298 1
La1 La 0.827 0.746 0.651 1
La2 La 0.827 0.254 0.651 1
La3 La 0.173 0.746 0.349 1
La4 La 0.500 0.278 0.000 1
La5 La 0.500 0.722 0.000 1
La6 La 0.173 0.254 0.349 1
Er1 Er 0.000 0.000 0.000 1
```

Results
- total magnetization (μB/f.u.) = 0.0
- DFT formation energy (meV per atom) = -217

# 12
Entry from the Alexandria database: an optimized crystal structure of LaErZn (PBE).

The structure in CIF format:
```
data_LaErZn
_space_group_name_H-M_alt 'P 1'
_space_group_IT_number 1
_cell_length_a 3.779
_cell_length_b 5.081
_cell_length_c 5.081
_cell_angle_alpha 120.00
_cell_angle_beta 90.00
_cell_angle_gamma 90.00
loop_
_space_group_symop_operation_xyz
'x,y,z'
loop_
_atom_site_label
_atom_site_type_symbol
_atom_site_fract_x
_atom_site_fract_y
_atom_site_fract_z
_atom_site_occupancy
La1 La 0.667 0.667 0.333 1
Zn1 Zn 0.166 0.333 0.667 1
Er1 Er 0.167 0.000 0.000 1
```

Results
- total magnetization (μB/f.u.) = 0.0
- DFT formation energy (meV per atom) = -63

# 13
Entry from the Alexandria database: an optimized crystal structure of LaEr14Zr (PBE).

The structure in CIF format:
```
data_LaEr14Zr
_space_group_name_H-M_alt 'P 1'
_space_group_IT_number 1
_cell_length_a 7.010
_cell_length_b 7.010
_cell_length_c 9.843
_cell_angle_alpha 90.00
_cell_angle_beta 90.00
_cell_angle_gamma 90.01
loop_
_space_group_symop_operation_xyz
'x,y,z'
loop_
_atom_site_label
_atom_site_type_symbol
_atom_site_fract_x
_atom_site_fract_y
_atom_site_fract_z
_atom_site_occupancy
Er1 Er 0.125 0.375 0.000 1
Er2 Er 0.625 0.875 0.500 1
Er3 Er 0.881 0.119 0.747 1
Er4 Er 0.369 0.631 0.253 1
Er5 Er 0.369 0.119 0.253 1
Er6 Er 0.625 0.875 0.000 1
Er7 Er 0.369 0.631 0.747 1
Er8 Er 0.125 0.375 0.500 1
Er9 Er 0.881 0.631 0.253 1
Er10 Er 0.125 0.875 0.000 1
Er11 Er 0.369 0.119 0.747 1
Er12 Er 0.881 0.119 0.253 1
Er13 Er 0.881 0.631 0.747 1
Er14 Er 0.625 0.375 0.000 1
Zr1 Zr 0.125 0.875 0.500 1
La1 La 0.625 0.375 0.500 1
```

Results
- total magnetization (μB/f.u.) = 0.0
- DFT formation energy (meV per atom) = 41